MnWCl: optimized geometry, PBEsol.

Values from the calculation:
The calculation puts the density of states at the Fermi level at 7.65 states/eV per cell. The value obtained for the distance to the lowest polymorph of the same formula is 78.5 kJ/mol of atoms. For the formation energy (no corrections), the calculation gives 1.169 eV per atom.

Cell lengths 5.7861, 5.7861, 5.7861 Å; angles 90.00, 90.00, 90.00 degrees
Sites, in units of the cell vectors:
1 Mn 0.0000 0.0000 0.0000
2 Mn 0.0000 0.5000 0.5000
3 Mn 0.5000 0.0000 0.5000
4 Mn 0.5000 0.5000 0.0000
5 W 0.2500 0.2500 0.7500
6 W 0.2500 0.7500 0.2500
7 W 0.7500 0.2500 0.2500
8 W 0.7500 0.7500 0.7500
9 Cl 0.0000 0.0000 0.5000
10 Cl 0.0000 0.5000 0.0000
11 Cl 0.5000 0.0000 0.0000
12 Cl 0.5000 0.5000 0.5000



Si2SbPb: optimized geometry, PBEsol.

Values from the calculation:
The calculation puts the density of states at the Fermi level at 3.88 states/eV per cell. For the formation energy (no corrections), the calculation gives 0.351 eV per atom.

Cell lengths 9.9755, 3.5548, 5.4958 Å; angles 90.00, 112.28, 90.00 degrees
Sites, in units of the cell vectors:
1 Si 0.0000 0.0000 0.0000
2 Si 0.1745 0.5000 0.1768
3 Si 0.5000 0.5000 0.0000
4 Si 0.6745 0.0000 0.1768
5 Sb 0.4231 0.0000 0.3481
6 Sb 0.9231 0.5000 0.3481
7 Pb 0.2274 0.0000 0.7191
8 Pb 0.7274 0.5000 0.7191



ZrSiMo2: optimized geometry, PBEsol.

Values from the calculation:
The calculation puts the density of states at the Fermi level at 5.43 states/eV per cell. For the formation energy (no corrections), the calculation gives -0.077 eV per atom.

Cell lengths 5.5002, 8.9261, 2.7968 Å; angles 90.00, 112.04, 90.00 degrees
Sites, in units of the cell vectors:
1 Zr 0.0000 0.0000 0.0000
2 Zr 0.5000 0.5000 0.0000
3 Si 0.0000 0.5000 0.0000
4 Si 0.5000 0.0000 0.0000
5 Mo 0.2500 0.2500 0.5000
6 Mo 0.2500 0.7500 0.5000
7 Mo 0.7500 0.2500 0.5000
8 Mo 0.7500 0.7500 0.5000



TcNi2Pt: optimized geometry, PBEsol.

Values from the calculation:
The energy relative to the elements is 50 meV per atom. The calculation puts the density of states at the Fermi level at 6.80 states/eV per cell. The value obtained for the distance to the lowest polymorph of the same formula is 13.3 kJ/mol of atoms.

Cell lengths 3.7539, 3.7539, 3.5250 Å; angles 90.00, 90.00, 90.00 degrees
Sites, in units of the cell vectors:
1 Tc 0.0000 0.0000 0.0000
2 Ni 0.0000 0.5000 0.5000
3 Ni 0.5000 0.0000 0.5000
4 Pt 0.5000 0.5000 0.0000



KLi4CrO5: optimized geometry, PBEsol.

Values from the calculation:
The calculation puts the density of states at the Fermi level at 2.51 states/eV per cell. For the formation energy (no corrections), the calculation gives -1.895 eV per atom.

Cell lengths 5.4997, 5.7629, 8.1357 Å; angles 80.36, 81.70, 61.55 degrees
Sites, in units of the cell vectors:
1 K 0.1470 0.2434 0.4134
2 K 0.8530 0.7566 0.5866
3 Li 0.2020 0.3588 0.9139
4 Li 0.2849 0.6143 0.0886
5 Li 0.3294 0.0023 0.1253
6 Li 0.4451 0.6723 0.3761
7 Li 0.5549 0.3277 0.6239
8 Li 0.6706 0.9977 0.8747
9 Li 0.7151 0.3857 0.9114
10 Li 0.7980 0.6412 0.0861
11 Cr 0.2297 0.9040 0.7794
12 Cr 0.7703 0.0960 0.2206
13 O 0.0447 0.7325 0.9140
14 O 0.1125 0.8342 0.2717
15 O 0.3476 0.1597 0.7269
16 O 0.3684 0.7195 0.6192
17 O 0.4841 0.7669 0.9408
18 O 0.5159 0.2331 0.0592
19 O 0.6316 0.2805 0.3808
20 O 0.6524 0.8403 0.2731
21 O 0.8875 0.1658 0.7283
22 O 0.9553 0.2675 0.0860



KAg2Se: optimized geometry, PBEsol.

Values from the calculation:
The calculation puts the density of states at the Fermi level at 1.05 states/eV per cell. For the formation energy (no corrections), the calculation gives 0.102 eV per atom.

Cell lengths 2.9201, 4.9759, 5.9605 Å; angles 90.00, 90.00, 90.00 degrees
Sites, in units of the cell vectors:
1 K 0.0000 0.0000 0.0000
2 Ag 0.5000 0.5000 0.2609
3 Ag 0.5000 0.5000 0.7391
4 Se 0.0000 0.0000 0.5000



NaAlCr2Re: optimized geometry, PBEsol.

Values from the calculation:
The energy relative to the elements is 1006 meV per atom. The calculation puts the density of states at the Fermi level at 2.37 states/eV per cell.

Cell lengths 4.6702, 4.6702, 4.8895 Å; angles 90.00, 90.00, 90.00 degrees
Sites, in units of the cell vectors:
1 Na 0.0000 0.0000 0.0000
2 Al 0.5000 0.5000 0.0000
3 Cr 0.0000 0.5000 0.5000
4 Cr 0.5000 0.0000 0.5000
5 Re 0.5000 0.5000 0.5000



LaCdIr2: optimized geometry, PBEsol.

Values from the calculation:
The energy relative to the elements is -86 meV per atom. The calculation puts the density of states at the Fermi level at 4.33 states/eV per cell.

Cell lengths 4.4407, 4.4407, 7.6679 Å; angles 90.00, 90.00, 90.00 degrees
Sites, in units of the cell vectors:
1 La 0.0000 0.0000 0.0000
2 La 0.5000 0.5000 0.5000
3 Cd 0.0000 0.0000 0.5000
4 Cd 0.5000 0.5000 0.0000
5 Ir 0.0000 0.5000 0.2500
6 Ir 0.0000 0.5000 0.7500
7 Ir 0.5000 0.0000 0.2500
8 Ir 0.5000 0.0000 0.7500



ScGeSb2Te: optimized geometry, PBEsol.

Values from the calculation:
The calculation puts the density of states at the Fermi level at 4.04 states/eV per cell. The value obtained for the distance to the lowest polymorph of the same formula is 0.0 kJ/mol of atoms. For the formation energy (no corrections), the calculation gives 0.337 eV per atom.

Cell lengths 5.3770, 5.3770, 5.3665 Å; angles 90.00, 90.00, 90.00 degrees
Sites, in units of the cell vectors:
1 Sc 0.0000 0.0000 0.0000
2 Ge 0.5000 0.5000 0.5000
3 Sb 0.0000 0.5000 0.0000
4 Sb 0.5000 0.0000 0.0000
5 Te 0.0000 0.0000 0.5000



TlSbTe2: optimized geometry, PBEsol.

Values from the calculation:
The calculation puts the density of states at the Fermi level at 1.95 states/eV per cell. The value obtained for the distance to the lowest polymorph of the same formula is 26.0 kJ/mol of atoms. For the formation energy (no corrections), the calculation gives 0.067 eV per atom.

Cell lengths 3.6754, 3.6754, 8.9212 Å; angles 90.00, 90.00, 90.00 degrees
Sites, in units of the cell vectors:
1 Tl 0.0000 0.0000 0.0000
2 Sb 0.5000 0.5000 0.2929
3 Te 0.0000 0.0000 0.4587
4 Te 0.5000 0.5000 0.7718



ZrCdPb2: optimized geometry, PBEsol.

Values from the calculation:
The energy relative to the elements is -32 meV per atom. The calculation puts the density of states at the Fermi level at 2.76 states/eV per cell.

Cell lengths 4.8119, 4.8119, 4.0702 Å; angles 90.00, 90.00, 90.00 degrees
Sites, in units of the cell vectors:
1 Zr 0.0000 0.0000 0.0000
2 Cd 0.5000 0.5000 0.0000
3 Pb 0.0000 0.5000 0.5000
4 Pb 0.5000 0.0000 0.5000



CrSiSe: optimized geometry, PBEsol.

Values from the calculation:
The calculation puts the density of states at the Fermi level at 10.87 states/eV per cell. For the formation energy (no corrections), the calculation gives 0.630 eV per atom.

Cell lengths 6.0133, 6.0133, 6.0133 Å; angles 90.00, 90.00, 90.00 degrees
Sites, in units of the cell vectors:
1 Cr 0.0000 0.0000 0.0000
2 Cr 0.0000 0.5000 0.5000
3 Cr 0.5000 0.0000 0.5000
4 Cr 0.5000 0.5000 0.0000
5 Si 0.2500 0.2500 0.2500
6 Si 0.2500 0.7500 0.7500
7 Si 0.7500 0.2500 0.7500
8 Si 0.7500 0.7500 0.2500
9 Se 0.0000 0.0000 0.5000
10 Se 0.0000 0.5000 0.0000
11 Se 0.5000 0.0000 0.0000
12 Se 0.5000 0.5000 0.5000